Here is an optimized crystal structure of CaCoP2S8 from Alexandria. Energies are from PBE.

## Properties
crystal system = trigonal
E = -4.81 eV per atom
ΔE_f (raw) = -0.40 eV per atom

a = 5.7416 Å, b = 5.7416 Å, c = 8.2787 Å
α = 90.00°, β = 90.00°, γ = 120.00°
Closest atoms and distances in Å follow each position.
Fractional positions:
Ca 0.0000 0.0000 0.0000  12 S 3.23-3.32
Co 0.0000 0.0000 0.5000  6 S 2.27
P 0.6667 0.3333 0.2698  4 S 2.03-2.09
P 0.3333 0.6667 0.7302  4 S 2.03-2.09
S 0.3333 0.6667 0.9753  1 P 2.03
S 0.3009 0.3114 0.3268  1 P 2.09, 1 Co 2.27
S 0.6886 0.9896 0.3268  1 P 2.09, 1 Co 2.27
S 0.6667 0.3333 0.0247  1 P 2.03
S 0.3114 0.0104 0.6732  1 P 2.09, 1 Co 2.27
S 0.6991 0.6886 0.6732  1 P 2.09, 1 Co 2.27
S 0.9896 0.3009 0.6732  1 P 2.09, 1 Co 2.27
S 0.0104 0.6991 0.3268  1 P 2.09, 1 Co 2.27



Here is an optimized crystal structure of CaCoP2S from Alexandria. Energies are from PBE.

## Properties
crystal system = tetragonal
E = -5.13 eV per atom
offset from the most stable computed form = 0.000 eV/atom
ΔE_f (raw) = -0.32 eV per atom

a = 4.2442 Å, b = 4.2442 Å, c = 5.3040 Å
α = 90.00°, β = 90.00°, γ = 90.00°
Closest atoms and distances in Å follow each position.
Fractional positions:
P 0.0000 0.5000 0.0000  2 Co 2.12
P 0.5000 0.0000 0.0000  2 Co 2.12
Ca 0.5000 0.5000 0.5000  4 S 3.00
Co 0.0000 0.0000 0.0000  4 P 2.12
S 0.0000 0.0000 0.5000  2 Co 2.65



Here is an optimized crystal structure of Ca2CoTeP from Alexandria. Energies are from PBE.

## Properties
crystal system = tetragonal
E = -4.69 eV per atom
offset from the most stable computed form = 0.023 eV/atom
ΔE_f (raw) = -0.76 eV per atom

a = 5.5248 Å, b = 5.5248 Å, c = 4.0886 Å
α = 90.00°, β = 90.00°, γ = 90.00°
Closest atoms and distances in Å follow each position.
Fractional positions:
P 0.0000 0.0000 0.5000  2 Co 2.04
Ca 0.0000 0.5000 0.0000  2 Co 2.76
Ca 0.5000 0.0000 0.0000  2 Co 2.76
Te 0.5000 0.5000 0.5000  8 Ca 3.44
Co 0.0000 0.0000 0.0000  2 P 2.04



Here is an optimized crystal structure of Ca2CoTeP from Alexandria. Energies are from PBE.

## Properties
crystal system = tetragonal
E = -4.71 eV per atom
offset from the most stable computed form = 0.000 eV/atom
ΔE_f (raw) = -0.78 eV per atom

a = 5.5404 Å, b = 5.5404 Å, c = 4.2420 Å
α = 90.00°, β = 90.00°, γ = 90.00°
Closest atoms and distances in Å follow each position.
Fractional positions:
P 0.0000 0.0000 0.0000  2 Co 2.12
Ca 0.0000 0.5000 0.0000  2 P 2.77
Ca 0.5000 0.0000 0.0000  2 P 2.77
Te 0.5000 0.5000 0.5000  8 Ca 3.49
Co 0.0000 0.0000 0.5000  2 P 2.12



Here is an optimized crystal structure of CaUCo2P2 from Alexandria. Energies are from PBE.

## Properties
crystal system = trigonal
E = -7.26 eV per atom
formation energy from the elements = -869 meV/atom

a = 3.8522 Å, b = 3.8522 Å, c = 7.8360 Å
α = 90.00°, β = 90.00°, γ = 120.00°
Closest atoms and distances in Å follow each position.
Fractional positions:
Ca 0.0000 0.0000 0.5000  6 P 2.97, 6 Co 3.23
U 0.0000 0.0000 0.0000  6 Co 2.72, 6 P 2.96
Co 0.6667 0.3333 0.2007  3 P 2.26
Co 0.3333 0.6667 0.7993  3 P 2.26
P 0.6667 0.3333 0.7516  3 Co 2.26
P 0.3333 0.6667 0.2484  3 Co 2.26



Here is an optimized crystal structure of CaCoP2W from Alexandria. Energies are from PBE.

## Properties
crystal system = tetragonal
E = -7.16 eV per atom
formation energy from the elements = -589 meV/atom

a = 3.9639 Å, b = 3.9639 Å, c = 6.0004 Å
α = 109.29°, β = 109.29°, γ = 90.00°
Closest atoms and distances in Å follow each position.
Fractional positions:
Ca 0.0000 0.0000 0.0000  8 P 3.14, 4 Co 3.31, 4 W 3.31
Co 0.7500 0.2500 0.5000  4 P 2.34
P 0.6326 0.6326 0.2652  2 Co 2.34, 2 W 2.34
P 0.3674 0.3674 0.7348  2 W 2.34, 2 Co 2.34
W 0.2500 0.7500 0.5000  4 P 2.34



Here is an optimized crystal structure of CaZn2Co2P from Alexandria. Energies are from PBE.

## Properties
crystal system = tetragonal
E = -4.34 eV per atom
formation energy from the elements = -308 meV/atom

a = 4.1961 Å, b = 4.1961 Å, c = 5.6445 Å
α = 90.00°, β = 90.00°, γ = 90.00°
Closest atoms and distances in Å follow each position.
Fractional positions:
Ca 0.0000 0.0000 0.5000  2 P 2.82
Zn 0.5000 0.5000 0.7300  4 Co 2.59, 1 Zn 2.60
Zn 0.5000 0.5000 0.2700  4 Co 2.59, 1 Zn 2.60
Co 0.5000 0.0000 0.0000  2 P 2.10
Co 0.0000 0.5000 0.0000  2 P 2.10
P 0.0000 0.0000 0.0000  4 Co 2.10



Here is an optimized crystal structure of CaPaCo4 from Alexandria. Energies are from PBE.

## Properties
crystal system = cubic
E = -6.72 eV per atom
formation energy from the elements = -71 meV/atom

a = 4.9813 Å, b = 4.9813 Å, c = 4.9813 Å
α = 60.00°, β = 60.00°, γ = 60.00°
Closest atoms and distances in Å follow each position.
Fractional positions:
Ca 0.0000 0.0000 0.0000  12 Co 2.92, 4 Pa 3.05
Pa 0.2500 0.2500 0.2500  12 Co 2.92, 4 Ca 3.05
Co 0.6253 0.6253 0.1241  6 Co 2.48-2.50
Co 0.6253 0.1241 0.6253  6 Co 2.48-2.50
Co 0.6253 0.6253 0.6253  6 Co 2.48-2.50
Co 0.1241 0.6253 0.6253  6 Co 2.48-2.50



Here is an optimized crystal structure of CaPaCoS4 from Alexandria. Energies are from PBE.

## Properties
crystal system = monoclinic
E = -6.37 eV per atom
ΔE_f (raw) = -1.36 eV per atom

a = 6.4765 Å, b = 5.6699 Å, c = 7.8441 Å
α = 90.00°, β = 105.76°, γ = 90.00°
Closest atoms and distances in Å follow each position.
Fractional positions:
Ca 0.7330 0.7500 0.9401  8 S 2.80-3.04
Ca 0.2670 0.2500 0.0599  8 S 2.80-3.04
Pa 0.7429 0.7500 0.4422  6 S 2.67-2.86
Pa 0.2571 0.2500 0.5578  6 S 2.67-2.86
Co 0.2403 0.7500 0.3359  4 S 2.15-2.24
Co 0.7597 0.2500 0.6641  4 S 2.15-2.24
S 0.0133 0.5075 0.7395  1 Co 2.16
S 0.9867 0.0075 0.2605  1 Co 2.16
S 0.9867 0.4925 0.2605  1 Co 2.16
S 0.0133 0.9925 0.7395  1 Co 2.16
S 0.4327 0.7500 0.1374  1 Co 2.24
S 0.5673 0.2500 0.8626  1 Co 2.24
S 0.4291 0.7500 0.6076  1 Co 2.15
S 0.5709 0.2500 0.3924  1 Co 2.15



Here is an optimized crystal structure of CaCoPb2 from Alexandria. Energies are from PBE.

## Properties
crystal system = orthorhombic
E = -4.02 eV per atom
formation energy from the elements = 107 meV/atom

a = 7.3853 Å, b = 7.3853 Å, c = 7.3853 Å
α = 153.33°, β = 146.02°, γ = 43.71°
Closest atoms and distances in Å follow each position.
Fractional positions:
Pb 0.0745 0.0745 0.0000  2 Co 2.78
Pb 0.7557 0.2557 0.5000  4 Co 2.76
Ca 0.4347 0.4347 0.0000  2 Co 3.22, 6 Pb 3.27-3.35, 2 Ca 3.41
Co 0.2351 0.7351 0.5000  6 Pb 2.76-2.78



Here is an optimized crystal structure of CaCo2Pb from Alexandria. Energies are from PBE.

## Properties
crystal system = tetragonal
E = -4.28 eV per atom
formation energy from the elements = 705 meV/atom

a = 7.4698 Å, b = 7.4698 Å, c = 6.0712 Å
α = 52.03°, β = 52.03°, γ = 90.00°
Closest atoms and distances in Å follow each position.
Fractional positions:
Pb 0.0000 0.0000 0.0000  4 Co 2.60
Pb 0.7500 0.2500 0.5000  4 Co 2.60
Ca 0.5000 0.5000 0.0000  4 Co 2.90, 2 Pb 2.99
Ca 0.2500 0.7500 0.5000  4 Co 2.90, 2 Pb 2.99
Co 0.6540 0.1250 0.2500  2 Pb 2.60, 2 Ca 2.90
Co 0.0960 0.6250 0.2500  2 Pb 2.60, 2 Ca 2.90
Co 0.3750 0.3460 0.7500  2 Pb 2.60, 2 Ca 2.90
Co 0.8750 0.9040 0.7500  2 Pb 2.60, 2 Ca 2.90



Here is an optimized crystal structure of CaCoPb2 from Alexandria. Energies are from PBE.

## Properties
crystal system = tetragonal
E = -4.05 eV per atom
formation energy from the elements = 76 meV/atom

a = 3.4279 Å, b = 3.4278 Å, c = 7.8743 Å
α = 90.00°, β = 90.00°, γ = 90.00°
Closest atoms and distances in Å follow each position.
Fractional positions:
Pb 0.0000 0.0000 0.9514  4 Co 2.90, 1 Pb 3.17
Pb 0.0000 0.0000 0.5486  4 Co 2.90, 1 Pb 3.17
Ca 0.5000 0.5000 0.2500  8 Pb 3.38, 4 Ca 3.43
Co 0.5000 0.5000 0.7500  8 Pb 2.90



Repeat the ninth record exactly.
Here is an optimized crystal structure of CaPaCoS4 from Alexandria. Energies are from PBE.

## Properties
crystal system = monoclinic
E = -6.37 eV per atom
ΔE_f (raw) = -1.36 eV per atom

a = 6.4765 Å, b = 5.6699 Å, c = 7.8441 Å
α = 90.00°, β = 105.76°, γ = 90.00°
Closest atoms and distances in Å follow each position.
Fractional positions:
Ca 0.7330 0.7500 0.9401  8 S 2.80-3.04
Ca 0.2670 0.2500 0.0599  8 S 2.80-3.04
Pa 0.7429 0.7500 0.4422  6 S 2.67-2.86
Pa 0.2571 0.2500 0.5578  6 S 2.67-2.86
Co 0.2403 0.7500 0.3359  4 S 2.15-2.24
Co 0.7597 0.2500 0.6641  4 S 2.15-2.24
S 0.0133 0.5075 0.7395  1 Co 2.16
S 0.9867 0.0075 0.2605  1 Co 2.16
S 0.9867 0.4925 0.2605  1 Co 2.16
S 0.0133 0.9925 0.7395  1 Co 2.16
S 0.4327 0.7500 0.1374  1 Co 2.24
S 0.5673 0.2500 0.8626  1 Co 2.24
S 0.4291 0.7500 0.6076  1 Co 2.15
S 0.5709 0.2500 0.3924  1 Co 2.15